# MnInGa2Os | Alexandria | PBE | optimized geometry
# M_tot, μB/f.u.: 4.36
# Energy relative to the elements, eV/atom: 0.371
data_MnInGa2Os
_cell_length_a 4.8308
_cell_length_b 4.8308
_cell_length_c 4.9650
_cell_angle_alpha 90.00
_cell_angle_beta 90.00
_cell_angle_gamma 90.00
_symmetry_space_group_name_H-M 'P 4/m m m'
_symmetry_Int_Tables_number 123
_symmetry_space_group_name_Hall '-P 4 2'
loop_
_atom_site_label
_atom_site_type_symbol
_atom_site_fract_x
_atom_site_fract_y
_atom_site_fract_z
Mn1 Mn 0.0000 0.0000 0.0000
In1 In 0.5000 0.5000 0.0000
Ga1 Ga 0.0000 0.5000 0.5000
Os1 Os 0.0000 0.0000 0.5000

***

# MnInGaRu | Alexandria | PBE | optimized geometry
# M_tot, μB/f.u.: 3.44
# Energy relative to the elements, eV/atom: 0.020
data_MnInGaRu
_cell_length_a 6.3045
_cell_length_b 6.3045
_cell_length_c 6.3045
_cell_angle_alpha 90.00
_cell_angle_beta 90.00
_cell_angle_gamma 90.00
_symmetry_space_group_name_H-M 'F -4 3 m'
_symmetry_Int_Tables_number 216
_symmetry_space_group_name_Hall 'F -4 2 3'
loop_
_atom_site_label
_atom_site_type_symbol
_atom_site_fract_x
_atom_site_fract_y
_atom_site_fract_z
Mn1 Mn 0.0000 0.0000 0.0000
In1 In 0.2500 0.2500 0.2500
Ga1 Ga 0.2500 0.2500 0.7500
Ru1 Ru 0.0000 0.0000 0.5000

***

# MnInGaS4 | Alexandria | PBE | optimized geometry
# Formation energy from raw total energies, eV per atom: -0.482
# M_tot, μB/f.u.: 4.44
data_MnInGaS4
_cell_length_a 3.8206
_cell_length_b 3.8206
_cell_length_c 38.3982
_cell_angle_alpha 90.00
_cell_angle_beta 90.00
_cell_angle_gamma 120.00
_symmetry_space_group_name_H-M 'R 3 m'
_symmetry_Int_Tables_number 160
_symmetry_space_group_name_Hall 'R 3 -2"'
loop_
_atom_site_label
_atom_site_type_symbol
_atom_site_fract_x
_atom_site_fract_y
_atom_site_fract_z
Mn1 Mn 0.0000 0.0000 0.0000
In1 In 0.0000 0.0000 0.5276
Ga1 Ga 0.0000 0.0000 0.7609
S1 S 0.0000 0.0000 0.0631
S2 S 0.0000 0.0000 0.4638
S3 S 0.0000 0.0000 0.6461
S4 S 0.0000 0.0000 0.8916